No. 1
## Na3ZrSc3Se8 (PBE)

Data for a relaxed Na3ZrSc3Se8 crystal.

Values from the calculation:
The value obtained for the energy relative to the elements, uncorrected is -1537 meV per atom. The calculation puts the volume at 24.85 Å³/atom. As for the total magnetic moment: 0.000 μB/atom.

Unit cell a=8.3753 b=8.3753 c=8.3753 alpha=55.58 beta=55.58 gamma=55.58
Closest atoms and distances in Å follow each position.
Atoms (fractional coordinates):
Na 0.0000 0.5000 0.5000  6 Se 3.01
Na 0.5000 0.0000 0.5000  6 Se 3.01
Na 0.5000 0.5000 0.0000  6 Se 3.01
Zr 0.5000 0.5000 0.5000  6 Se 2.73
Sc 0.0000 0.0000 0.5000  6 Se 2.73
Sc 0.0000 0.5000 0.0000  6 Se 2.73
Sc 0.5000 0.0000 0.0000  6 Se 2.73
Se 0.2393 0.2393 0.2393  3 Sc 2.73, 3 Na 3.01
Se 0.2388 0.7393 0.7393  2 Sc 2.73, 1 Zr 2.73, 2 Na 3.01
Se 0.2607 0.2607 0.7612  2 Sc 2.73, 1 Zr 2.73, 2 Na 3.01
Se 0.2607 0.7612 0.2607  2 Sc 2.73, 1 Zr 2.73, 2 Na 3.01
Se 0.7393 0.2388 0.7393  2 Sc 2.73, 1 Zr 2.73, 2 Na 3.01
Se 0.7393 0.7393 0.2388  2 Sc 2.73, 1 Zr 2.73, 2 Na 3.01
Se 0.7612 0.2607 0.2607  2 Sc 2.73, 1 Zr 2.73, 2 Na 3.01
Se 0.7607 0.7607 0.7607  3 Sc 2.73, 3 Na 3.01

No. 2
## Sr3Zn6Pt5 (PBE)

Data for a relaxed Sr3Zn6Pt5 crystal.

Values from the calculation:
The calculated formation energy comes out at -874 kJ/mol of formula units. The calculation puts the volume at 19.74 Å³/atom. As for the total magnetic moment: 0.000 μB/atom.

Unit cell a=4.3928 b=12.9636 c=9.7074 alpha=90.00 beta=90.00 gamma=90.00
Closest atoms and distances in Å follow each position.
Atoms (fractional coordinates):
Sr 0.2500 0.0605 0.2504  6 Pt 3.15-3.33, 8 Zn 3.16-3.30
Sr 0.2500 0.4395 0.2504  6 Pt 3.15-3.33, 8 Zn 3.16-3.30
Sr 0.2500 0.7500 0.2434  6 Pt 3.11-3.26, 2 Zn 3.29
Sr 0.7500 0.2500 0.7566  6 Pt 3.11-3.26, 2 Zn 3.29
Sr 0.7500 0.5605 0.7496  6 Pt 3.15-3.33, 8 Zn 3.16-3.30
Sr 0.7500 0.9395 0.7496  6 Pt 3.15-3.33, 8 Zn 3.16-3.30
Zn 0.2500 0.0650 0.9136  4 Pt 2.67-2.76, 1 Zn 2.71
Zn 0.2500 0.2500 0.0435  4 Pt 2.63, 2 Zn 2.71
Zn 0.2500 0.2500 0.4697  4 Pt 2.61-2.74
Zn 0.2500 0.4350 0.9136  4 Pt 2.67-2.76, 1 Zn 2.71
Zn 0.2500 0.5991 0.5159  4 Pt 2.62-2.68
Zn 0.2500 0.9009 0.5159  4 Pt 2.62-2.68
Zn 0.7500 0.0991 0.4841  4 Pt 2.62-2.68
Zn 0.7500 0.4009 0.4841  4 Pt 2.62-2.68
Zn 0.7500 0.5650 0.0864  4 Pt 2.67-2.76, 1 Zn 2.71
Zn 0.7500 0.7500 0.5303  4 Pt 2.61-2.74
Zn 0.7500 0.7500 0.9565  4 Pt 2.63, 2 Zn 2.71
Zn 0.7500 0.9350 0.0864  4 Pt 2.67-2.76, 1 Zn 2.71
Pt 0.2500 0.0892 0.6310  5 Zn 2.61-2.76
Pt 0.2500 0.4108 0.6310  5 Zn 2.61-2.76
Pt 0.2500 0.6382 0.9599  5 Zn 2.63-2.69, 2 Pt 2.90-2.92
Pt 0.2500 0.7500 0.6985  4 Zn 2.64-2.74, 2 Pt 2.92
Pt 0.2500 0.8618 0.9599  5 Zn 2.63-2.69, 2 Pt 2.90-2.92
Pt 0.7500 0.1382 0.0401  5 Zn 2.63-2.69, 2 Pt 2.90-2.92
Pt 0.7500 0.2500 0.3015  4 Zn 2.64-2.74, 2 Pt 2.92
Pt 0.7500 0.3618 0.0401  5 Zn 2.63-2.69, 2 Pt 2.90-2.92
Pt 0.7500 0.5892 0.3690  5 Zn 2.61-2.76
Pt 0.7500 0.9108 0.3690  5 Zn 2.61-2.76

No. 3
## Tb4DyY15 (PBE)

Data for a relaxed Tb4DyY15 crystal.

Values from the calculation:
The calculated formation energy comes out at 43 kJ/mol of formula units. The calculation puts the volume at 32.10 Å³/atom. As for the total magnetic moment: 0.000 μB/atom.

Unit cell a=5.0455 b=5.0455 c=25.2213 alpha=90.00 beta=90.00 gamma=90.00
Closest atoms and distances in Å follow each position.
Atoms (fractional coordinates):
Tb 0.0000 0.0000 0.1000  12 Y 3.57
Tb 0.0000 0.0000 0.3000  12 Y 3.57
Tb 0.0000 0.0000 0.7000  12 Y 3.57
Tb 0.0000 0.0000 0.9000  12 Y 3.57
Dy 0.0000 0.0000 0.5000  12 Y 3.57
Y 0.0000 0.5000 0.0000  8 Y 3.57, 4 Tb 3.57
Y 0.0000 0.5000 0.1999  4 Tb 3.57, 8 Y 3.57
Y 0.0000 0.5000 0.4001  2 Dy 3.57, 8 Y 3.57, 2 Tb 3.57
Y 0.0000 0.5000 0.5999  2 Dy 3.57, 8 Y 3.57, 2 Tb 3.57
Y 0.0000 0.5000 0.8001  4 Tb 3.57, 8 Y 3.57
Y 0.5000 0.0000 0.0000  8 Y 3.57, 4 Tb 3.57
Y 0.5000 0.0000 0.1999  4 Tb 3.57, 8 Y 3.57
Y 0.5000 0.0000 0.4001  2 Dy 3.57, 8 Y 3.57, 2 Tb 3.57
Y 0.5000 0.0000 0.5999  2 Dy 3.57, 8 Y 3.57, 2 Tb 3.57
Y 0.5000 0.0000 0.8001  4 Tb 3.57, 8 Y 3.57
Y 0.5000 0.5000 0.1000  8 Y 3.57, 4 Tb 3.57
Y 0.5000 0.5000 0.3000  4 Tb 3.57, 8 Y 3.57
Y 0.5000 0.5000 0.5000  8 Y 3.57, 4 Dy 3.57
Y 0.5000 0.5000 0.7000  4 Tb 3.57, 8 Y 3.57
Y 0.5000 0.5000 0.9000  8 Y 3.57, 4 Tb 3.57